## TmZrAgSn (PBE)

Data for a relaxed structure of TmZrAgSn.

a = 7.1228 Å, b = 7.1228 Å, c = 7.1228 Å
α = 90.00°, β = 90.00°, γ = 90.00°
With the nearest neighbours (Å) after each atom.
Space group F-43m (No. 216)
Unique sites:
Tm 0.0000 0.0000 0.0000 x4  4 Ag 3.08, 4 Sn 3.08
Zr 0.0000 0.0000 0.5000 x4  4 Sn 3.08, 4 Ag 3.08
Ag 0.2500 0.2500 0.7500 x4  4 Zr 3.08, 4 Tm 3.08
Sn 0.2500 0.2500 0.2500 x4  4 Tm 3.08, 4 Zr 3.08

Computed properties:
- Calculated volume: 22.59 A^3/atom
- DOS at the Fermi energy: 14.30 states/eV per cell
- Theoretical density: 8.9 Mg/m³
- Final energy: -5.293 eV/atom